No. 1
# Sr2Sn4Pt3Pb

Sr2Sn4Pt3Pb after structural relaxation (PBE, Alexandria via LeMat-Bulk).

Summary:
For the formation energy from the elements, the calculation gives -0.6267 eV/atom. The density is 9.426 g/cm³. Its space group is P-4m2. As for the total energy: -4.75 eV/atom.

Cell: 4.720 4.720 11.407 Å, 90.00 90.00 90.00°
Sites, in units of the cell vectors:
Sr 0.500 0.000 0.245
Sr 0.000 0.500 0.755
Sn 0.500 0.500 0.000
Sn 0.000 0.000 0.000
Sn 0.500 0.000 0.651
Sn 0.000 0.500 0.349
Pt 0.000 0.000 0.500
Pt 0.500 0.000 0.881
Pt 0.000 0.500 0.119
Pb 0.500 0.500 0.500

No. 2
# SnTePt2Pb

SnTePt2Pb after structural relaxation (PBE, Alexandria via LeMat-Bulk).

Summary:
The density is 9.554 g/cm³. The uncorrected formation energy is 0.64 eV/atom. Its space group is P4/mmm. As for the total energy: -3.94 eV/atom.

Cell: 4.997 5.871 4.997 Å, 90.00 90.00 90.00°
Sites, in units of the cell vectors:
Pb 0.000 0.500 0.000
Te 0.500 0.500 0.500
Sn 0.000 0.000 0.000
Pt 0.000 0.000 0.500
Pt 0.500 0.000 0.000

No. 3
# SrPtPb2

SrPtPb2 after structural relaxation (PBE, Alexandria via LeMat-Bulk).

Summary:
For the formation energy from the elements, the calculation gives -0.4780 eV/atom. The density is 10.139 g/cm³. Its space group is C2/c. As for the total energy: -4.26 eV/atom.

Cell: 6.087 6.133 7.634 Å, 78.81 66.51 60.88°
Sites, in units of the cell vectors:
Sr 0.845 0.250 0.309
Sr 0.155 0.750 0.691
Pt 0.263 0.250 0.474
Pt 0.737 0.750 0.526
Pb 0.228 0.609 0.184
Pb 0.587 0.891 0.184
Pb 0.772 0.391 0.816
Pb 0.413 0.109 0.816

No. 4
# Sr2Pt2Pb

Sr2Pt2Pb after structural relaxation (PBE, Alexandria via LeMat-Bulk).

Summary:
For the formation energy from the elements, the calculation gives -0.5383 eV/atom. The density is 9.052 g/cm³. Its space group is I4/mmm. As for the total energy: -4.37 eV/atom.

Cell: 3.818 3.818 10.090 Å, 79.09 79.09 90.00°
Sites, in units of the cell vectors:
Pb 0.000 0.000 0.000
Sr 0.377 0.377 0.246
Sr 0.623 0.623 0.754
Pt 0.750 0.250 0.500
Pt 0.250 0.750 0.500

No. 5
# Sr2Pt3Pb5

Sr2Pt3Pb5 after structural relaxation (PBE, Alexandria via LeMat-Bulk).

Summary:
For the formation energy from the elements, the calculation gives -0.4959 eV/atom. The density is 11.520 g/cm³. Its space group is Cmc2_1. As for the total energy: -4.50 eV/atom.

Cell: 4.730 7.770 14.288 Å, 90.00 99.53 90.00°
Sites, in units of the cell vectors:
Sr 0.477 0.763 0.953
Sr 0.173 0.720 0.346
Sr 0.827 0.220 0.654
Sr 0.523 0.263 0.047
Pt 0.776 0.714 0.552
Pt 0.607 0.523 0.214
Pt 0.048 0.971 0.095
Pt 0.224 0.214 0.448
Pt 0.952 0.471 0.905
Pt 0.393 0.023 0.786
Pb 0.404 0.392 0.807
Pb 0.291 0.508 0.581
Pb 0.709 0.008 0.419
Pb 0.122 0.255 0.244
Pb 0.296 0.926 0.591
Pb 0.950 0.093 0.899
Pb 0.704 0.426 0.409
Pb 0.878 0.755 0.756
Pb 0.050 0.593 0.101
Pb 0.596 0.892 0.193

No. 6
# SrPtPb2

SrPtPb2 after structural relaxation (PBE, Alexandria via LeMat-Bulk).

Summary:
For the formation energy from the elements, the calculation gives -0.1930 eV/atom. The density is 9.900 g/cm³. Its space group is C2/m. As for the total energy: -3.98 eV/atom.

Cell: 6.636 6.636 4.495 Å, 70.57 70.57 123.66°
Sites, in units of the cell vectors:
Pb 0.000 0.000 0.000
Pb 0.500 0.500 0.000
Pt 0.500 0.000 0.500
Sr 0.000 0.500 0.500

No. 7
# Sr2Pt2Pb

Sr2Pt2Pb after structural relaxation (PBE, Alexandria via LeMat-Bulk).

Summary:
For the formation energy from the elements, the calculation gives -0.5579 eV/atom. The density is 8.828 g/cm³. Its space group is I4/mmm. As for the total energy: -4.39 eV/atom.

Cell: 6.003 6.003 5.855 Å, 59.16 59.16 90.00°
Sites, in units of the cell vectors:
Pb 0.000 0.000 0.000
Sr 0.750 0.250 0.500
Sr 0.250 0.750 0.500
Pt 0.339 0.339 0.322
Pt 0.661 0.661 0.678

No. 8
# SrPtPb2

SrPtPb2 after structural relaxation (PBE, Alexandria via LeMat-Bulk).

Summary:
For the formation energy from the elements, the calculation gives -0.4137 eV/atom. The density is 10.378 g/cm³. Its space group is Immm. As for the total energy: -4.20 eV/atom.

Cell: 6.327 6.327 6.327 Å, 145.93 127.32 64.24°
Sites, in units of the cell vectors:
Pb 0.045 0.045 0.000
Pb 0.455 0.455 0.000
Pt 0.250 0.750 0.500
Sr 0.750 0.250 0.500

No. 9
# SrPtPb2

SrPtPb2 after structural relaxation (PBE, Alexandria via LeMat-Bulk).

Summary:
For the formation energy from the elements, the calculation gives -0.2909 eV/atom. The density is 10.910 g/cm³. Its space group is P4/mmm. As for the total energy: -4.08 eV/atom.

Cell: 4.648 4.642 4.917 Å, 90.00 90.00 90.00°
Sites, in units of the cell vectors:
Pb 0.000 0.000 0.000
Pb 0.500 0.500 0.000
Pt 0.500 0.000 0.500
Sr 0.000 0.500 0.500

No. 10
# SrPtPb2

SrPtPb2 after structural relaxation (PBE, Alexandria via LeMat-Bulk).

Summary:
For the formation energy from the elements, the calculation gives -0.2646 eV/atom. The density is 10.838 g/cm³. Its space group is I-4m2. As for the total energy: -4.05 eV/atom.

Cell: 5.635 5.635 5.635 Å, 128.41 128.41 75.96°
Sites, in units of the cell vectors:
Pb 0.000 0.000 0.000
Pb 0.250 0.750 0.500
Pt 0.500 0.500 0.000
Sr 0.750 0.250 0.500

No. 11
# SrPt8Pb3

SrPt8Pb3 after structural relaxation (PBE, Alexandria via LeMat-Bulk).

Summary:
For the formation energy from the elements, the calculation gives -0.3654 eV/atom. The density is 15.925 g/cm³. Its space group is R3m. As for the total energy: -5.46 eV/atom.

Cell: 5.511 5.511 9.546 Å, 73.22 73.22 60.00°
Sites, in units of the cell vectors:
Sr 0.874 0.874 0.377
Pt 0.938 0.438 0.186
Pt 0.436 0.937 0.689
Pt 0.438 0.438 0.186
Pt 0.937 0.937 0.689
Pt 0.187 0.187 0.439
Pt 0.687 0.687 0.938
Pt 0.438 0.938 0.186
Pt 0.937 0.436 0.689
Pb 0.376 0.376 0.871
Pb 0.999 0.999 0.002
Pb 0.501 0.501 0.497

No. 12
# Sr4PtPb2

Sr4PtPb2 after structural relaxation (PBE, Alexandria via LeMat-Bulk).

Summary:
For the formation energy from the elements, the calculation gives -0.4890 eV/atom. The density is 5.697 g/cm³. Its space group is I4/mmm. As for the total energy: -3.37 eV/atom.

Cell: 5.906 5.906 9.043 Å, 109.06 109.06 90.00°
Sites, in units of the cell vectors:
Pb 0.611 0.611 0.223
Pb 0.389 0.389 0.777
Sr 0.816 0.816 0.632
Sr 0.184 0.184 0.368
Sr 0.000 0.500 0.000
Sr 0.500 0.000 0.000
Pt 0.000 0.000 0.000

No. 13
# Sr8Pt2Pb

Sr8Pt2Pb after structural relaxation (PBE, Alexandria via LeMat-Bulk).

Summary:
For the formation energy from the elements, the calculation gives -0.4611 eV/atom. The density is 5.154 g/cm³. Its space group is Cm. As for the total energy: -3.12 eV/atom.

Cell: 6.102 8.694 8.694 Å, 111.46 97.25 97.25°
Sites, in units of the cell vectors:
Sr 0.582 0.333 0.064
Sr 0.582 0.064 0.333
Sr 0.206 0.382 0.382
Sr 0.000 0.249 0.757
Sr 0.000 0.757 0.249
Sr 0.794 0.624 0.624
Sr 0.417 0.942 0.673
Sr 0.417 0.673 0.942
Pt 0.500 0.689 0.317
Pt 0.500 0.317 0.689
Pb 0.001 0.003 0.003

No. 14
# Sr3Pt2Pb3

Sr3Pt2Pb3 after structural relaxation (PBE, Alexandria via LeMat-Bulk).

Summary:
For the formation energy from the elements, the calculation gives -0.6294 eV/atom. The density is 9.105 g/cm³. Its space group is Cmcm. As for the total energy: -4.16 eV/atom.

Cell: 4.802 6.276 16.699 Å, 90.00 90.00 112.49°
Sites, in units of the cell vectors:
Sr 0.928 0.855 0.389
Sr 0.072 0.145 0.889
Sr 0.928 0.855 0.111
Sr 0.072 0.145 0.611
Sr 0.647 0.294 0.250
Sr 0.353 0.706 0.750
Pt 0.786 0.573 0.891
Pt 0.214 0.427 0.391
Pt 0.786 0.573 0.609
Pt 0.214 0.427 0.109
Pb 0.640 0.280 0.465
Pb 0.360 0.720 0.965
Pb 0.640 0.280 0.035
Pb 0.360 0.720 0.535
Pb 0.351 0.701 0.250
Pb 0.649 0.299 0.750

No. 15
# Sr2PtPb2

Sr2PtPb2 after structural relaxation (PBE, Alexandria via LeMat-Bulk).

Summary:
For the formation energy from the elements, the calculation gives -0.1119 eV/atom. The density is 7.226 g/cm³. Its space group is I4/mmm. As for the total energy: -3.48 eV/atom.

Cell: 6.594 6.594 6.240 Å, 58.10 58.10 90.00°
Sites, in units of the cell vectors:
Pb 0.324 0.324 0.353
Pb 0.676 0.676 0.647
Sr 0.750 0.250 0.500
Sr 0.250 0.750 0.500
Pt 0.000 0.000 0.000

No. 16
# SrPtPb2

SrPtPb2 after structural relaxation (PBE, Alexandria via LeMat-Bulk).

Summary:
For the formation energy from the elements, the calculation gives -0.3072 eV/atom. The density is 10.328 g/cm³. Its space group is P4mm. As for the total energy: -4.09 eV/atom.

Cell: 3.653 3.653 8.401 Å, 90.00 90.00 89.97°
Sites, in units of the cell vectors:
Pb 0.000 0.000 0.021
Pb 0.500 0.500 0.298
Pt 0.000 0.000 0.477
Sr 0.500 0.500 0.703

No. 17
# Sr4Pt2Pb5

Sr4Pt2Pb5 after structural relaxation (PBE, Alexandria via LeMat-Bulk).

Summary:
For the formation energy from the elements, the calculation gives -0.5323 eV/atom. The density is 8.713 g/cm³. Its space group is P2/m. As for the total energy: -3.93 eV/atom.

Cell: 4.100 8.228 10.052 Å, 93.19 90.00 90.00°
Sites, in units of the cell vectors:
Sr 0.500 0.782 0.570
Sr 0.500 0.191 0.852
Sr 0.500 0.218 0.430
Sr 0.500 0.809 0.148
Pt 0.000 0.077 0.636
Pt 0.000 0.923 0.364
Pb 0.000 0.557 0.333
Pb 0.000 0.151 0.146
Pb 0.000 0.500 0.000
Pb 0.000 0.849 0.854
Pb 0.000 0.443 0.667

No. 18
# SrPtPb2

SrPtPb2 after structural relaxation (PBE, Alexandria via LeMat-Bulk).

Summary:
For the formation energy from the elements, the calculation gives -0.4408 eV/atom. The density is 10.138 g/cm³. Its space group is R-3m. As for the total energy: -4.23 eV/atom.

Cell: 6.653 6.653 6.653 Å, 40.95 40.95 40.95°
Sites, in units of the cell vectors:
Pb 0.972 0.972 0.972
Pb 0.528 0.528 0.528
Pt 0.250 0.250 0.250
Sr 0.750 0.750 0.750

No. 19
# SrPt9Pb2

SrPt9Pb2 after structural relaxation (PBE, Alexandria via LeMat-Bulk).

Summary:
For the formation energy from the elements, the calculation gives -0.3617 eV/atom. The density is 16.183 g/cm³. Its space group is R-3m. As for the total energy: -5.65 eV/atom.

Cell: 5.510 5.510 9.367 Å, 72.89 72.89 60.00°
Sites, in units of the cell vectors:
Sr 0.000 0.000 0.000
Pt 0.667 0.667 0.998
Pt 0.333 0.333 0.002
Pt 0.500 0.500 0.500
Pt 0.415 0.415 0.251
Pt 0.919 0.415 0.251
Pt 0.415 0.919 0.251
Pt 0.585 0.585 0.749
Pt 0.585 0.081 0.749
Pt 0.081 0.585 0.749
Pb 0.861 0.861 0.416
Pb 0.139 0.139 0.584

No. 20
# SrPt4Pb

SrPt4Pb after structural relaxation (PBE, Alexandria via LeMat-Bulk).

Summary:
For the formation energy from the elements, the calculation gives -0.5656 eV/atom. The density is 14.977 g/cm³. Its space group is F-43m. As for the total energy: -5.49 eV/atom.

Cell: 5.524 5.524 5.524 Å, 60.00 60.00 60.00°
Sites, in units of the cell vectors:
Pb 0.000 0.000 0.000
Pt 0.124 0.625 0.625
Pt 0.625 0.625 0.625
Pt 0.625 0.124 0.625
Pt 0.625 0.625 0.124
Sr 0.250 0.250 0.250

No. 21
# SrPt2Pb3

SrPt2Pb3 after structural relaxation (PBE, Alexandria via LeMat-Bulk).

Summary:
For the formation energy from the elements, the calculation gives -0.3745 eV/atom. The density is 11.446 g/cm³. Its space group is C2/m. As for the total energy: -4.52 eV/atom.

Cell: 4.630 9.660 11.699 Å, 109.02 90.00 103.87°
Sites, in units of the cell vectors:
Sr 0.164 0.327 0.694
Sr 0.836 0.673 0.306
Sr 0.000 0.000 0.000
Pt 0.200 0.400 0.132
Pt 0.800 0.600 0.868
Pt 0.470 0.939 0.195
Pt 0.530 0.061 0.805
Pt 0.362 0.724 0.547
Pt 0.638 0.276 0.453
Pb 0.030 0.059 0.331
Pb 0.970 0.941 0.669
Pb 0.213 0.426 0.388
Pb 0.787 0.574 0.612
Pb 0.623 0.245 0.191
Pb 0.377 0.755 0.809
Pb 0.500 0.000 0.500
Pb 0.322 0.644 0.041
Pb 0.678 0.356 0.959

No. 22
# SrPt3Pb3

SrPt3Pb3 after structural relaxation (PBE, Alexandria via LeMat-Bulk).

Summary:
For the formation energy from the elements, the calculation gives -0.0929 eV/atom. The density is 9.816 g/cm³. Its space group is Pm-3n. As for the total energy: -4.51 eV/atom.

Cell: 7.594 7.594 7.594 Å, 90.00 90.00 90.00°
Sites, in units of the cell vectors:
Pb 0.000 0.250 0.500
Pb 0.000 0.750 0.500
Pb 0.500 0.000 0.750
Pb 0.750 0.500 0.000
Pb 0.500 0.000 0.250
Pb 0.250 0.500 0.000
Sr 0.500 0.500 0.500
Sr 0.000 0.000 0.000
Pt 0.250 0.000 0.500
Pt 0.000 0.500 0.250
Pt 0.500 0.750 0.000
Pt 0.750 0.000 0.500
Pt 0.000 0.500 0.750
Pt 0.500 0.250 0.000

No. 23
# SrPtPb2

SrPtPb2 after structural relaxation (PBE, Alexandria via LeMat-Bulk).

Summary:
For the formation energy from the elements, the calculation gives -0.2329 eV/atom. The density is 10.796 g/cm³. Its space group is Cmmm. As for the total energy: -4.02 eV/atom.

Cell: 3.685 3.685 7.896 Å, 90.00 90.00 90.23°
Sites, in units of the cell vectors:
Pb 0.000 0.000 0.052
Pb 0.000 0.000 0.448
Pt 0.500 0.500 0.250
Sr 0.500 0.500 0.750

No. 24
# Sr2PtPb2

Sr2PtPb2 after structural relaxation (PBE, Alexandria via LeMat-Bulk).

Summary:
For the formation energy from the elements, the calculation gives -0.6144 eV/atom. The density is 8.534 g/cm³. Its space group is C2/m. As for the total energy: -3.98 eV/atom.

Cell: 4.808 6.402 10.986 Å, 88.04 77.36 67.94°
Sites, in units of the cell vectors:
Sr 0.670 0.329 0.330
Sr 0.934 0.252 0.879
Sr 0.330 0.671 0.670
Sr 0.066 0.748 0.121
Pt 0.617 0.099 0.667
Pt 0.383 0.901 0.333
Pb 0.109 0.230 0.552
Pb 0.642 0.833 0.882
Pb 0.891 0.770 0.448
Pb 0.358 0.167 0.118